BP2AuCl | SCAN | single point on PBEsol structure

- Electronic total energy: -20.12 eV per atom
- Crystal system: tetragonal
- D(E_F): 0.487 states/eV/atom
- Symmetry: P4/mmm

```
BP2AuCl
1.0
4.0972 0.0000 0.0000
0.0000 4.2207 0.0000
0.0000 0.0000 4.2207
Cl B Au P
1 1 1 2
Direct
0.5000 0.0000 0.0000
0.0000 0.0000 0.0000
0.5000 0.5000 0.5000
0.0000 0.5000 0.0000
0.0000 0.0000 0.5000
```